# 1
The following is a DFT calculation (PBE) of an optimized crystal structure of ScTa3Fe.

**Total DFT energy (no corrections)**: -9.51 eV per atom
**Space group**: No. 221
**Formation enthalpy at 0 K**: 0.56 eV/atom
**Magnetic moment**: 0.0 Bohr magnetons per cell

Lattice parameters (Å, degrees): 4.642 4.642 4.642 90.00 90.00 90.00
Positions (direct):
Sc (0.500, 0.500, 0.500)
Fe (0.000, 0.000, 0.000)
Ta (0.000, 0.500, 0.000)
Ta (0.000, 0.000, 0.500)
Ta (0.500, 0.000, 0.000)

# 2
The following is a DFT calculation (PBE) of an optimized crystal structure of MgCd5Rh.

**Total DFT energy (no corrections)**: -2.05 eV per atom
**Space group**: No. 15
**Formation enthalpy at 0 K**: -0.12 eV/atom
**Magnetic moment**: 0.0 Bohr magnetons per cell

Lattice parameters (Å, degrees): 7.298 7.298 8.939 52.23 52.23 72.71
Positions (direct):
Mg (0.815, 0.185, 0.250)
Mg (0.185, 0.815, 0.750)
Cd (0.692, 0.688, 0.059)
Cd (0.500, 0.000, 0.253)
Cd (0.688, 0.692, 0.559)
Cd (0.199, 0.801, 0.250)
Cd (0.000, 0.500, 0.247)
Cd (0.000, 0.500, 0.753)
Cd (0.801, 0.199, 0.750)
Cd (0.312, 0.308, 0.441)
Cd (0.500, 0.000, 0.747)
Cd (0.308, 0.312, 0.941)
Rh (0.000, 0.000, 0.000)
Rh (0.000, 0.000, 0.500)

# 3
The following is a DFT calculation (PBE) of an optimized crystal structure of InPRh3.

**Total DFT energy (no corrections)**: -6.28 eV per atom
**Space group**: No. 221
**Formation enthalpy at 0 K**: -0.24 eV/atom
**Magnetic moment**: 0.0 Bohr magnetons per cell

Lattice parameters (Å, degrees): 4.401 4.401 4.401 90.00 90.00 90.00
Positions (direct):
P (0.000, 0.000, 0.000)
Rh (0.000, 0.500, 0.000)
Rh (0.000, 0.000, 0.500)
Rh (0.500, 0.000, 0.000)
In (0.500, 0.500, 0.500)

# 4
The following is a DFT calculation (PBE) of an optimized crystal structure of NdPu2Cu2Ge2.

**Total DFT energy (no corrections)**: -7.54 eV per atom
**Space group**: No. 166
**Formation enthalpy at 0 K**: -0.28 eV/atom
**Magnetic moment**: 0.0 Bohr magnetons per cell

Lattice parameters (Å, degrees): 4.048 4.048 9.408 77.58 77.58 60.00
Positions (direct):
Nd (0.000, 0.000, 0.000)
Pu (0.152, 0.152, 0.545)
Pu (0.848, 0.848, 0.455)
Cu (0.584, 0.584, 0.249)
Cu (0.416, 0.416, 0.751)
Ge (0.741, 0.741, 0.776)
Ge (0.259, 0.259, 0.224)

# 5
The following is a DFT calculation (PBE) of an optimized crystal structure of Sc7NCl12.

**Total DFT energy (no corrections)**: -5.68 eV per atom
**Energy relative to the elements, uncorrected**: -1.936 eV per atom
**Space group**: No. 148
**Magnetic moment**: 0.0 Bohr magnetons per cell

Lattice parameters (Å, degrees): 8.137 8.137 8.137 107.66 107.66 107.66
Positions (direct):
Sc (0.299, 0.029, 0.099)
Sc (0.029, 0.099, 0.299)
Sc (0.099, 0.299, 0.029)
Sc (0.701, 0.971, 0.901)
Sc (0.971, 0.901, 0.701)
Sc (0.901, 0.701, 0.971)
Sc (0.500, 0.500, 0.500)
N (0.000, 0.000, 0.000)
Cl (0.459, 0.381, 0.155)
Cl (0.381, 0.155, 0.459)
Cl (0.155, 0.459, 0.381)
Cl (0.541, 0.619, 0.845)
Cl (0.619, 0.845, 0.541)
Cl (0.845, 0.541, 0.619)
Cl (0.221, 0.690, 0.076)
Cl (0.076, 0.221, 0.690)
Cl (0.690, 0.076, 0.221)
Cl (0.779, 0.310, 0.924)
Cl (0.924, 0.779, 0.310)
Cl (0.310, 0.924, 0.779)

# 6
The following is a DFT calculation (PBE) of an optimized crystal structure of Cs3InSn.

**Total DFT energy (no corrections)**: -1.91 eV per atom
**Space group**: No. 12
**Formation enthalpy at 0 K**: -0.05 eV/atom
**Magnetic moment**: 0.7 Bohr magnetons per cell

Lattice parameters (Å, degrees): 9.840 9.840 8.629 110.28 115.37 108.68
Positions (direct):
Cs (0.786, 0.031, 0.214)
Cs (0.183, 0.428, 0.214)
Cs (0.817, 0.572, 0.786)
Cs (0.720, 0.483, 0.202)
Cs (0.214, 0.969, 0.786)
Cs (0.280, 0.517, 0.798)
In (0.689, 0.857, 0.546)
In (0.311, 0.143, 0.454)
Sn (0.623, 0.109, 0.732)
Sn (0.377, 0.891, 0.268)

# 7
The following is a DFT calculation (PBE) of an optimized crystal structure of RbAsO2.

**Total DFT energy (no corrections)**: -5.36 eV per atom
**Energy relative to the elements, uncorrected**: -1.480 eV per atom
**Space group**: No. 13
**Magnetic moment**: 0.0 Bohr magnetons per cell

Lattice parameters (Å, degrees): 5.357 6.324 13.171 122.23 90.00 90.00
Positions (direct):
Rb (0.749, 0.376, 0.359)
Rb (0.251, 0.624, 0.641)
Rb (0.749, 0.624, 0.141)
Rb (0.251, 0.376, 0.859)
As (0.774, 0.114, 0.562)
As (0.226, 0.886, 0.438)
As (0.774, 0.886, 0.938)
As (0.226, 0.114, 0.062)
O (0.114, 0.904, 0.901)
O (0.886, 0.096, 0.099)
O (0.114, 0.096, 0.599)
O (0.886, 0.904, 0.401)
O (0.247, 0.402, 0.080)
O (0.753, 0.598, 0.920)
O (0.247, 0.598, 0.420)
O (0.753, 0.402, 0.580)

# 8
The following is a DFT calculation (PBE) of an optimized crystal structure of Nb6SbSe12.

**Total DFT energy (no corrections)**: -5.95 eV per atom
**Energy relative to the elements, uncorrected**: -0.353 eV per atom
**Space group**: No. 166
**Magnetic moment**: 0.0 Bohr magnetons per cell

Lattice parameters (Å, degrees): 7.807 7.807 7.807 106.69 106.69 106.69
Positions (direct):
Nb (0.723, 0.279, 0.279)
Nb (0.279, 0.279, 0.723)
Nb (0.279, 0.723, 0.279)
Nb (0.721, 0.721, 0.277)
Nb (0.277, 0.721, 0.721)
Nb (0.721, 0.277, 0.721)
Sb (0.000, 0.000, 0.000)
Se (0.882, 0.118, 0.500)
Se (0.857, 0.591, 0.591)
Se (0.591, 0.591, 0.857)
Se (0.409, 0.143, 0.409)
Se (0.409, 0.409, 0.143)
Se (0.143, 0.409, 0.409)
Se (0.118, 0.500, 0.882)
Se (0.500, 0.882, 0.118)
Se (0.118, 0.882, 0.500)
Se (0.882, 0.500, 0.118)
Se (0.500, 0.118, 0.882)
Se (0.591, 0.857, 0.591)

# 9
The following is a DFT calculation (PBE) of an optimized crystal structure of Sr3GePd.

**Total DFT energy (no corrections)**: -3.18 eV per atom
**Space group**: No. 221
**Formation enthalpy at 0 K**: -0.21 eV/atom
**Magnetic moment**: 0.0 Bohr magnetons per cell

Lattice parameters (Å, degrees): 5.745 5.745 5.745 90.00 90.00 90.00
Positions (direct):
Sr (0.000, 0.500, 0.000)
Sr (0.000, 0.000, 0.500)
Sr (0.500, 0.000, 0.000)
Ge (0.500, 0.500, 0.500)
Pd (0.000, 0.000, 0.000)

# 10
The following is a DFT calculation (PBE) of an optimized crystal structure of LaTb2Ce.

**Total DFT energy (no corrections)**: -4.97 eV per atom
**Space group**: No. 160
**Formation enthalpy at 0 K**: 0.07 eV/atom
**Magnetic moment**: 1.1 Bohr magnetons per cell

Lattice parameters (Å, degrees): 3.588 3.588 11.898 81.33 81.33 60.00
Each line ends with the local moment (μB).
Positions (direct):
La (0.666, 0.666, 0.001)  0.00
Tb (0.085, 0.085, 0.746)  0.02
Tb (0.248, 0.248, 0.255)  0.04
Ce (0.500, 0.500, 0.499)  0.77

# 11
The following is a DFT calculation (PBE) of an optimized crystal structure of AcIn2Ag2.

**Total DFT energy (no corrections)**: -3.36 eV per atom
**Space group**: No. 2
**Formation enthalpy at 0 K**: -0.30 eV/atom
**Magnetic moment**: 0.0 Bohr magnetons per cell

Lattice parameters (Å, degrees): 5.014 4.824 6.553 111.76 114.90 90.04
Positions (direct):
Ac (0.000, 0.000, 0.000)
In (0.319, 0.370, 0.740)
In (0.681, 0.630, 0.260)
Ag (0.309, 0.747, 0.495)
Ag (0.691, 0.253, 0.505)

# 12
The following is a DFT calculation (PBE) of an optimized crystal structure of SrLaNb2.

**Total DFT energy (no corrections)**: -5.64 eV per atom
**Space group**: No. 225
**Formation enthalpy at 0 K**: 1.05 eV/atom
**Magnetic moment**: 0.0 Bohr magnetons per cell

Lattice parameters (Å, degrees): 5.275 5.275 5.275 60.00 60.00 60.00
Positions (direct):
Sr (0.000, 0.000, 0.000)
Nb (0.250, 0.250, 0.250)
Nb (0.750, 0.750, 0.750)
La (0.500, 0.500, 0.500)

Question: Number 5 is which compound?
Answer: Sc7NCl12